1.
# DyHoCo2Pb (PBE-GGA, optimized geometry)
# Raw total energy = -5.76 eV per atom
data_DyHoCo2Pb
_space_group_name_H-M_alt 'A m m 2'
_space_group_IT_number 38
_cell_length_a 3.840
_cell_length_b 3.848
_cell_length_c 14.088
_cell_angle_alpha 90.00
_cell_angle_beta 90.00
_cell_angle_gamma 90.00
loop_
_space_group_symop_operation_xyz
'x,y,z'
'-x,-y,z'
'-x,y,z'
'x,-y,z'
'x,y+1/2,z+1/2'
'-x,-y+1/2,z+1/2'
'-x,y+1/2,z+1/2'
'x,-y+1/2,z+1/2'
loop_
_atom_site_label
_atom_site_fract_x
_atom_site_fract_y
_atom_site_fract_z
Dy1 0.000 0.000 0.000
Ho1 0.000 0.000 0.719
Co1 0.500 0.000 0.153
Co2 0.500 0.000 0.567
Pb1 0.500 0.000 0.359

2.
# Pr3DyHo2CoTe2 (PBE-GGA, optimized geometry)
# Raw total energy = -5.32 eV per atom
data_Pr3DyHo2CoTe2
_space_group_name_H-M_alt 'A m m 2'
_space_group_IT_number 38
_cell_length_a 4.040
_cell_length_b 14.712
_cell_length_c 8.492
_cell_angle_alpha 90.00
_cell_angle_beta 90.00
_cell_angle_gamma 90.00
loop_
_space_group_symop_operation_xyz
'x,y,z'
'-x,-y,z'
'-x,y,z'
'x,-y,z'
'x,y+1/2,z+1/2'
'-x,-y+1/2,z+1/2'
'-x,y+1/2,z+1/2'
'x,-y+1/2,z+1/2'
loop_
_atom_site_label
_atom_site_fract_x
_atom_site_fract_y
_atom_site_fract_z
Pr1 0.000 0.000 0.000
Pr2 0.000 0.202 0.605
Dy1 0.500 0.000 0.633
Ho1 0.500 0.115 0.288
Co1 0.000 0.000 0.402
Te1 0.500 0.167 0.903

3.
# DyHoCo2Si2 (PBE-GGA, optimized geometry)
# Raw total energy = -6.46 eV per atom
data_DyHoCo2Si2
_space_group_name_H-M_alt 'P 4 m m'
_space_group_IT_number 99
_cell_length_a 3.948
_cell_length_b 3.948
_cell_length_c 6.631
_cell_angle_alpha 90.00
_cell_angle_beta 90.00
_cell_angle_gamma 90.00
loop_
_space_group_symop_operation_xyz
'x,y,z'
'-y,x,z'
'-x,-y,z'
'y,-x,z'
'-x,y,z'
'y,x,z'
'x,-y,z'
'-y,-x,z'
loop_
_atom_site_label
_atom_site_fract_x
_atom_site_fract_y
_atom_site_fract_z
Dy1 0.000 0.000 0.000
Ho1 0.500 0.500 0.362
Co1 0.000 0.500 0.679
Si1 0.000 0.000 0.490
Si2 0.500 0.500 0.869

4.
# DyHoCo2Si4 (PBE-GGA, optimized geometry)
# Raw total energy = -6.42 eV per atom
data_DyHoCo2Si4
_space_group_name_H-M_alt 'A m m 2'
_space_group_IT_number 38
_cell_length_a 3.953
_cell_length_b 3.994
_cell_length_c 16.294
_cell_angle_alpha 90.00
_cell_angle_beta 90.00
_cell_angle_gamma 90.00
loop_
_space_group_symop_operation_xyz
'x,y,z'
'-x,-y,z'
'-x,y,z'
'x,-y,z'
'x,y+1/2,z+1/2'
'-x,-y+1/2,z+1/2'
'-x,y+1/2,z+1/2'
'x,-y+1/2,z+1/2'
loop_
_atom_site_label
_atom_site_fract_x
_atom_site_fract_y
_atom_site_fract_z
Dy1 0.000 0.000 0.000
Ho1 0.500 0.000 0.215
Co1 0.000 0.000 0.786
Co2 0.500 0.000 0.429
Si1 0.000 0.000 0.357
Si2 0.000 0.000 0.650
Si3 0.500 0.000 0.565
Si4 0.500 0.000 0.858